## PmPr5Pb6 (PBE)

Data for a relaxed PmPr5Pb6 crystal.

POSCAR file:
```
PmPr5Pb6
1.0
-2.780 -2.668 4.463
5.213 -5.073 0.215
1.954 2.410 9.493
Pr Pb Pm
5 6 1
direct
0.665 0.000 0.666
0.000 0.500 0.000
0.334 0.500 0.334
0.335 0.000 0.334
0.666 0.500 0.666
0.837 0.249 0.331
0.163 0.249 0.669
0.163 0.751 0.669
0.500 0.248 0.000
0.500 0.752 0.000
0.837 0.751 0.331
0.000 0.000 0.000
```

Values from the calculation:
The energy above the most stable polymorph in this dataset comes out at 0 meV per atom. The value obtained for the energy relative to the elements is -0.520 eV per atom. As for the magnetization: 0.00 μB per cell. For the calculated volume, the calculation gives 366.6 Å³/cell. The raw total energy is -57.1 eV for the cell shown.